i:
Density functional theory data (GGA-PBE) for crystalline MnCoMo2 at its relaxed geometry.

a = 6.7891 Å, b = 6.7891 Å, c = 5.4342 Å
α = 51.34°, β = 51.34°, γ = 90.00°
Last column: magnetic moment on the atom in μB.
Sites, in units of the cell vectors:
Mo  0.6474  0.1250  0.2500  -0.20
Mo  0.1026  0.6250  0.2500  -0.19
Mo  0.3750  0.3526  0.7500  -0.19
Mo  0.8750  0.8974  0.7500  -0.19
Mn  0.5000  0.5000  0.0000  2.75
Mn  0.2500  0.7500  0.5000  2.75
Co  0.0000  0.0000  0.0000  0.10
Co  0.7500  0.2500  0.5000  0.10

Values from the calculation:
Space-group type   I-42d (122)

---

ii:
Density functional theory data (GGA-PBE) for crystalline MnCoMo2 at its relaxed geometry.

a = 4.9619 Å, b = 4.9619 Å, c = 4.9619 Å
α = 144.09°, β = 129.00°, γ = 63.95°
Last column: magnetic moment on the atom in μB.
Sites, in units of the cell vectors:
Co  0.4945  0.4945  0.0000  1.43
Mn  0.2500  0.7500  0.5000  2.07
Mo  0.0032  0.0032  0.0000  -0.03
Mo  0.7523  0.2523  0.5000  -0.21

Values from the calculation:
Space-group type   Imm2 (44)

---

Most stable pick: ii. Distance to second place: 411 meV/atom.

---

i:
Density functional theory data (GGA-PBE) for crystalline MnCoMo2 at its relaxed geometry.

a = 8.9674 Å, b = 8.9674 Å, c = 8.9674 Å
α = 17.34°, β = 17.34°, γ = 17.34°
Last column: magnetic moment on the atom in μB.
Sites, in units of the cell vectors:
Co  0.4963  0.4963  0.4963  1.10
Mn  0.7558  0.7558  0.7558  2.48
Mo  0.0045  0.0045  0.0045  -0.13
Mo  0.2434  0.2434  0.2434  -0.07

Values from the calculation:
Space-group type   R3m (160)

---

ii:
Density functional theory data (GGA-PBE) for crystalline MnCoMo2 at its relaxed geometry.

a = 4.2422 Å, b = 4.2422 Å, c = 4.2422 Å
α = 60.00°, β = 60.00°, γ = 60.00°
Last column: magnetic moment on the atom in μB.
Sites, in units of the cell vectors:
Mo  0.2500  0.2500  0.2500  0.15
Mo  0.7500  0.7500  0.7500  0.15
Mn  0.0000  0.0000  0.0000  0.87
Co  0.5000  0.5000  0.5000  1.36

Values from the calculation:
Space-group type   Fm-3m (225)

---

Most stable pick: ii. Distance to second place: 90 meV/atom.

---

i:
Density functional theory data (GGA-PBE) for crystalline MnCoMo2 at its relaxed geometry.

a = 4.7034 Å, b = 4.7034 Å, c = 4.7034 Å
α = 133.53°, β = 133.53°, γ = 67.82°
Last column: magnetic moment on the atom in μB.
Sites, in units of the cell vectors:
Co  0.5000  0.5000  0.0000  -0.52
Mn  0.7500  0.2500  0.5000  1.38
Mo  0.0000  0.0000  0.0000  -0.19
Mo  0.2500  0.7500  0.5000  -0.17

Values from the calculation:
Space-group type   I-4m2 (119)

---

ii:
Density functional theory data (GGA-PBE) for crystalline MnCoMo2 at its relaxed geometry.

a = 3.0921 Å, b = 3.0921 Å, c = 5.8290 Å
α = 90.00°, β = 90.00°, γ = 90.00°
Last column: magnetic moment on the atom in μB.
Sites, in units of the cell vectors:
Co  0.0000  0.0000  0.5073  1.35
Mn  0.5000  0.5000  0.7415  2.72
Mo  0.0000  0.0000  0.9916  -0.46
Mo  0.5000  0.5000  0.2596  0.30

Values from the calculation:
Space-group type   P4mm (99)

---

iii:
Density functional theory data (GGA-PBE) for crystalline MnCoMo2 at its relaxed geometry.

a = 4.9525 Å, b = 4.9525 Å, c = 4.9525 Å
α = 142.73°, β = 130.20°, γ = 63.81°
Last column: magnetic moment on the atom in μB.
Sites, in units of the cell vectors:
Co  0.7500  0.2500  0.5000  1.33
Mn  0.2500  0.7500  0.5000  2.64
Mo  0.0007  0.0007  0.0000  -0.13
Mo  0.4993  0.4993  0.0000  -0.13

Values from the calculation:
Space-group type   Immm (71)

---

Most stable pick: ii. Distance to second place: 18 meV/atom.

---

i:
Density functional theory data (GGA-PBE) for crystalline MnCoMo2 at its relaxed geometry.

a = 2.6453 Å, b = 2.6453 Å, c = 7.7801 Å
α = 90.00°, β = 90.00°, γ = 96.44°
Last column: magnetic moment on the atom in μB.
Sites, in units of the cell vectors:
Co  0.5000  0.5000  0.2500  -0.40
Mn  0.5000  0.5000  0.7500  2.04
Mo  0.0000  0.0000  0.0101  -0.12
Mo  0.0000  0.0000  0.4899  -0.12

Values from the calculation:
Space-group type   Cmmm (65)

---

ii:
Density functional theory data (GGA-PBE) for crystalline MnCoMo2 at its relaxed geometry.

a = 2.6602 Å, b = 3.7218 Å, c = 5.4177 Å
α = 90.00°, β = 90.00°, γ = 90.00°
Last column: magnetic moment on the atom in μB.
Sites, in units of the cell vectors:
Co  0.5000  0.5000  0.2500  0.05
Mn  0.5000  0.5000  0.7500  1.60
Mo  0.0000  0.0000  0.0026  -0.14
Mo  0.0000  0.0000  0.4974  -0.14

Values from the calculation:
Space-group type   Pmmm (47)

---

Most stable pick: i. Distance to second place: 28 meV/atom.

---

i:
Density functional theory data (GGA-PBE) for crystalline Mn2CoMoN at its relaxed geometry.

a = 3.7180 Å, b = 4.0353 Å, c = 3.7180 Å
α = 90.00°, β = 90.00°, γ = 90.00°
Sites, in units of the cell vectors:
Mo  0.0000  0.5000  0.0000
Mn  0.0000  0.0000  0.5000
Mn  0.5000  0.0000  0.0000
Co  0.5000  0.5000  0.5000
N  0.0000  0.0000  0.0000

Values from the calculation:
Space-group type   P4/mmm (123)

---

ii:
Density functional theory data (GGA-PBE) for crystalline Mn2CoMoN at its relaxed geometry.

a = 4.0903 Å, b = 4.4563 Å, c = 4.0903 Å
α = 90.00°, β = 90.00°, γ = 90.00°
Last column: magnetic moment on the atom in μB.
Sites, in units of the cell vectors:
Mo  0.0000  0.5000  0.0000  0.63
Mn  0.0000  0.0000  0.5000  -0.32
Mn  0.5000  0.0000  0.0000  -0.09
Co  0.0000  0.0000  0.0000  -0.04
N  0.5000  0.5000  0.5000  -0.12

Values from the calculation:
Space-group type   P4/mmm (123)

---

Most stable pick: i. Distance to second place: 2293 meV/atom.

---

i:
Density functional theory data (GGA-PBE) for crystalline MnCoN at its relaxed geometry.

a = 3.9601 Å, b = 3.9601 Å, c = 3.7635 Å
α = 90.00°, β = 90.00°, γ = 90.00°
Last column: magnetic moment on the atom in μB.
Sites, in units of the cell vectors:
Mn  0.0000  0.5000  0.0001  2.61
Mn  0.5000  0.0000  0.9999  2.61
N  0.0000  0.5000  0.5001  -0.09
N  0.5000  0.0000  0.4999  -0.09
Co  0.5000  0.5000  0.5000  0.52
Co  0.0000  0.0000  0.5000  0.52

Values from the calculation:
Space-group type   P4/mmm (123)

---

ii:
Density functional theory data (GGA-PBE) for crystalline MnCoN at its relaxed geometry.

a = 3.2267 Å, b = 3.2267 Å, c = 3.7493 Å
α = 115.49°, β = 115.49°, γ = 90.00°
Last column: magnetic moment on the atom in μB.
Sites, in units of the cell vectors:
Mn  0.5924  0.5924  0.1848  2.56
Co  0.9754  0.9754  0.9509  -0.37
N  0.2822  0.2822  0.5643  -0.10

Values from the calculation:
Space-group type   I4mm (107)

---

Most stable pick: i. Distance to second place: 696 meV/atom.

---

i:
Density functional theory data (GGA-PBE) for crystalline MnCoNi2N at its relaxed geometry.

a = 3.7973 Å, b = 3.7973 Å, c = 3.7345 Å
α = 90.00°, β = 90.00°, γ = 90.00°
Last column: magnetic moment on the atom in μB.
Sites, in units of the cell vectors:
Ni  0.0000  0.5000  0.0000  0.41
Ni  0.5000  0.0000  0.0000  0.41
Mn  0.5000  0.5000  0.5000  3.87
Co  0.0000  0.0000  0.5000  1.36
N  0.0000  0.0000  0.0000  0.12

Values from the calculation:
Space-group type   P4/mmm (123)

---

ii:
Density functional theory data (GGA-PBE) for crystalline MnCoNi2N at its relaxed geometry.

a = 3.7448 Å, b = 3.7448 Å, c = 3.8035 Å
α = 90.00°, β = 90.00°, γ = 90.00°
Last column: magnetic moment on the atom in μB.
Sites, in units of the cell vectors:
Ni  0.0000  0.5000  0.0000  0.31
Ni  0.5000  0.0000  0.0000  0.31
Mn  0.0000  0.0000  0.5000  2.70
Co  0.5000  0.5000  0.5000  1.89
N  0.0000  0.0000  0.0000  -0.05

Values from the calculation:
Space-group type   P4/mmm (123)

---

Most stable pick: i. Distance to second place: 62 meV/atom.

---

i:
Density functional theory data (GGA-PBE) for crystalline MnCoS2N at its relaxed geometry.

a = 4.5836 Å, b = 4.5836 Å, c = 3.3230 Å
α = 90.00°, β = 90.00°, γ = 90.00°
Last column: magnetic moment on the atom in μB.
Sites, in units of the cell vectors:
S  0.0000  0.5000  0.0000  0.05
S  0.5000  0.0000  0.0000  0.05
Mn  0.5000  0.5000  0.5000  -0.14
Co  0.0000  0.0000  0.0000  -0.03
N  0.0000  0.0000  0.5000  0.03

Values from the calculation:
Space-group type   P4/mmm (123)

---

ii:
Density functional theory data (GGA-PBE) for crystalline MnCoS2N at its relaxed geometry.

a = 4.6887 Å, b = 4.6887 Å, c = 3.4271 Å
α = 90.00°, β = 90.00°, γ = 90.00°
Last column: magnetic moment on the atom in μB.
Sites, in units of the cell vectors:
S  0.0000  0.5000  0.0000  0.09
S  0.5000  0.0000  0.0000  0.09
Mn  0.0000  0.0000  0.0000  1.85
Co  0.5000  0.5000  0.5000  2.33
N  0.0000  0.0000  0.5000  -0.20

Values from the calculation:
Space-group type   P4/mmm (123)

---

Most stable pick: ii. Distance to second place: 268 meV/atom.

---

i:
Density functional theory data (GGA-PBE) for crystalline MnCoTe2N at its relaxed geometry.

a = 5.2163 Å, b = 5.2163 Å, c = 3.4112 Å
α = 90.00°, β = 90.00°, γ = 90.00°
Last column: magnetic moment on the atom in μB.
Sites, in units of the cell vectors:
Te  0.0000  0.5000  0.0000  -0.07
Te  0.5000  0.0000  0.0000  -0.07
Co  0.5000  0.5000  0.5000  1.64
Mn  0.0000  0.0000  0.0000  1.21
N  0.0000  0.0000  0.5000  -0.13

Values from the calculation:
Space-group type   P4/mmm (123)

---

ii:
Density functional theory data (GGA-PBE) for crystalline MnCoTe2N at its relaxed geometry.

a = 5.3126 Å, b = 5.3126 Å, c = 3.3982 Å
α = 90.00°, β = 90.00°, γ = 90.00°
Last column: magnetic moment on the atom in μB.
Sites, in units of the cell vectors:
Te  0.0000  0.5000  0.0000  -0.05
Te  0.5000  0.0000  0.0000  -0.05
Co  0.0000  0.0000  0.0000  -0.02
Mn  0.5000  0.5000  0.5000  4.13
N  0.0000  0.0000  0.5000  0.01

Values from the calculation:
Space-group type   P4/mmm (123)

---

Most stable pick: ii. Distance to second place: 128 meV/atom.

---

i:
Density functional theory data (GGA-PBE) for crystalline NaMn3Co at its relaxed geometry.

a = 4.1825 Å, b = 4.1825 Å, c = 4.1825 Å
α = 90.00°, β = 90.00°, γ = 90.00°
Last column: magnetic moment on the atom in μB.
Sites, in units of the cell vectors:
Na  0.0000  0.0000  0.0000  0.00
Mn  0.0000  0.5000  0.0000  -0.11
Mn  0.0000  0.0000  0.5000  -0.03
Mn  0.5000  0.0000  0.0000  0.10
Co  0.5000  0.5000  0.5000  1.85

Values from the calculation:
Space-group type   Pm-3m (221)

---

ii:
Density functional theory data (GGA-PBE) for crystalline NaMn3Co at its relaxed geometry.

a = 4.6477 Å, b = 4.6477 Å, c = 4.6477 Å
α = 90.00°, β = 90.00°, γ = 90.00°
Last column: magnetic moment on the atom in μB.
Sites, in units of the cell vectors:
Na  0.5000  0.5000  0.5000  -0.01
Mn  0.0000  0.5000  0.0000  3.83
Mn  0.0000  0.0000  0.5000  3.81
Mn  0.5000  0.0000  0.0000  3.84
Co  0.0000  0.0000  0.0000  1.19

Values from the calculation:
Space-group type   Pm-3m (221)

---

Most stable pick: ii. Distance to second place: 2001 meV/atom.

---

i:
Density functional theory data (GGA-PBE) for crystalline NaMn2Co2 at its relaxed geometry.

a = 7.1743 Å, b = 7.1743 Å, c = 2.4257 Å
α = 90.00°, β = 90.00°, γ = 90.00°
Last column: magnetic moment on the atom in μB.
Sites, in units of the cell vectors:
Na  0.0000  0.0000  0.0000  0.00
Na  0.5000  0.5000  0.0000  0.00
Mn  0.3839  0.8839  0.0000  0.33
Mn  0.8839  0.6161  0.0000  0.31
Mn  0.6161  0.1161  0.0000  0.33
Mn  0.1161  0.3839  0.0000  0.31
Co  0.1672  0.6672  0.5000  -0.15
Co  0.6672  0.8328  0.5000  -0.15
Co  0.8328  0.3328  0.5000  -0.15
Co  0.3328  0.1672  0.5000  -0.15

Values from the calculation:
Space-group type   P4/mbm (127)

---

ii:
Density functional theory data (GGA-PBE) for crystalline NaMn2Co2 at its relaxed geometry.

a = 7.1951 Å, b = 7.1951 Å, c = 2.6026 Å
α = 90.00°, β = 90.00°, γ = 90.00°
Last column: magnetic moment on the atom in μB.
Sites, in units of the cell vectors:
Na  0.0000  0.0000  0.0000  -0.01
Na  0.5000  0.5000  0.0000  -0.01
Mn  0.1497  0.6497  0.5000  2.79
Mn  0.6497  0.8503  0.5000  2.78
Mn  0.8503  0.3503  0.5000  2.79
Mn  0.3503  0.1497  0.5000  2.78
Co  0.3611  0.8611  0.0000  0.37
Co  0.8611  0.6389  0.0000  0.37
Co  0.6389  0.1389  0.0000  0.37
Co  0.1389  0.3611  0.0000  0.37

Values from the calculation:
Space-group type   P4/mbm (127)

---

Most stable pick: i. Distance to second place: 8 meV/atom.

---

i:
Density functional theory data (GGA-PBE) for crystalline NaMnCo2 at its relaxed geometry.

a = 4.2462 Å, b = 4.2462 Å, c = 4.2462 Å
α = 60.00°, β = 60.00°, γ = 60.00°
Last column: magnetic moment on the atom in μB.
Sites, in units of the cell vectors:
Na  0.0000  0.0000  0.0000  -0.02
Mn  0.5000  0.5000  0.5000  3.05
Co  0.2500  0.2500  0.2500  1.49
Co  0.7500  0.7500  0.7500  1.49

Values from the calculation:
Space-group type   Fm-3m (225)

---

ii:
Density functional theory data (GGA-PBE) for crystalline NaMnCo2 at its relaxed geometry.

a = 6.6381 Å, b = 6.6381 Å, c = 5.3720 Å
α = 51.84°, β = 51.84°, γ = 90.00°
Last column: magnetic moment on the atom in μB.
Sites, in units of the cell vectors:
Na  0.5000  0.5000  0.0000  0.00
Na  0.2500  0.7500  0.5000  0.00
Mn  0.0000  0.0000  0.0000  2.08
Mn  0.7500  0.2500  0.5000  2.09
Co  0.6777  0.1250  0.2500  -0.10
Co  0.0723  0.6250  0.2500  -0.13
Co  0.3750  0.3223  0.7500  -0.08
Co  0.8750  0.9277  0.7500  -0.12

Values from the calculation:
Space-group type   I-42d (122)

---

Most stable pick: i. Distance to second place: 216 meV/atom.

---

i:
Density functional theory data (GGA-PBE) for crystalline Mn2NbCo at its relaxed geometry.

a = 3.8000 Å, b = 6.1960 Å, c = 8.7872 Å
α = 90.00°, β = 90.00°, γ = 90.00°
Last column: magnetic moment on the atom in μB.
Sites, in units of the cell vectors:
Mn  0.7500  0.7809  0.0367  -0.65
Mn  0.2500  0.2191  0.9633  -0.65
Mn  0.7500  0.2809  0.4633  -0.65
Mn  0.2500  0.7191  0.5367  -0.65
Mn  0.7500  0.0535  0.8798  0.99
Mn  0.2500  0.4465  0.3798  0.99
Mn  0.7500  0.5535  0.6202  0.99
Mn  0.2500  0.9465  0.1202  0.99
Nb  0.7500  0.7566  0.3215  -0.05
Nb  0.7500  0.2566  0.1785  -0.05
Nb  0.2500  0.2434  0.6785  -0.05
Nb  0.2500  0.7434  0.8215  -0.05
Co  0.2500  0.0405  0.3915  0.23
Co  0.7500  0.9595  0.6085  0.23
Co  0.2500  0.5405  0.1085  0.23
Co  0.7500  0.4595  0.8915  0.23

Values from the calculation:
Space-group type   Pnma (62)

---

ii:
Density functional theory data (GGA-PBE) for crystalline Mn2NbCo at its relaxed geometry.

a = 6.6750 Å, b = 6.6750 Å, c = 5.3783 Å
α = 51.64°, β = 51.64°, γ = 90.00°
Last column: magnetic moment on the atom in μB.
Sites, in units of the cell vectors:
Nb  0.0000  0.0000  0.0000  -0.63
Nb  0.7500  0.2500  0.5000  -0.63
Mn  0.5964  0.1250  0.2500  2.65
Mn  0.1536  0.6250  0.2500  2.65
Mn  0.3750  0.4036  0.7500  2.65
Mn  0.8750  0.8464  0.7500  2.66
Co  0.5000  0.5000  0.0000  1.06
Co  0.2500  0.7500  0.5000  1.07

Values from the calculation:
Space-group type   I-42d (122)

---

Most stable pick: i. Distance to second place: 391 meV/atom.